# PuSc2SnC

A geometry-optimized PuSc2SnC structure (PBE-GGA, the Alexandria database).

Calculated values
For the theoretical density, the calculation gives 7.60 Mg/m³. As for the total energy: -8.591 eV/atom. As for the crystal system: tetragonal. As for the space group: P4/mmm, No. 123. The calculated formation energy comes out at -547 meV/atom.

The structure in POSCAR format:
```
PuSc2SnC
1.0
4.632 0.000 0.000
0.000 4.632 0.000
0.000 0.000 4.731
Pu Sc Sn C
1 2 1 1
Cartesian
0.000 0.000 0.000
0.000 2.316 2.366
2.316 0.000 2.366
2.316 2.316 0.000
0.000 0.000 2.366
```



# Pu3CSe2

A geometry-optimized Pu3CSe2 structure (PBE-GGA, the Alexandria database).

Calculated values
For the theoretical density, the calculation gives 11.20 Mg/m³. As for the total energy: -10.775 eV/atom. As for the crystal system: monoclinic. As for the space group: C2/c, No. 15.

The structure in POSCAR format:
```
Pu3CSe2
1.0
3.509 -5.971 0.000
3.509 5.971 0.000
-2.269 0.000 6.384
Pu C Se
6 2 4
Cartesian
0.620 2.985 3.192
1.386 0.836 0.032
0.252 -0.836 3.224
1.754 -2.985 0.000
4.497 0.836 3.160
3.363 -0.836 6.352
1.807 4.961 4.788
2.941 -4.961 1.596
2.941 2.836 1.596
1.807 0.968 4.788
2.941 -0.968 1.596
1.807 -2.836 4.788
```



# Pu5CSe5

A geometry-optimized Pu5CSe5 structure (PBE-GGA, the Alexandria database).

Calculated values
For the theoretical density, the calculation gives 9.67 Mg/m³. As for the total energy: -10.011 eV/atom. As for the crystal system: monoclinic. As for the space group: C2/m, No. 12.

The structure in POSCAR format:
```
Pu5CSe5
1.0
6.473 -2.852 0.000
6.473 2.852 0.000
-2.650 0.000 7.567
Pu C Se
5 1 5
Cartesian
0.000 0.000 0.000
2.673 0.000 5.253
4.160 0.000 1.147
6.136 0.000 6.420
7.623 0.000 2.314
6.473 0.000 0.000
-0.072 0.000 6.273
1.485 0.000 2.526
5.148 0.000 3.784
8.811 0.000 5.041
10.368 0.000 1.294
```



| no. | DOS(E_F) (states/eV/f.u.) |
| --- | --- |
| 1 | 7.306 |
| 2 | 23.183 |
| 3 | 51.315 |